Entry from Alexandria via LeMat-Bulk: an optimized crystal structure of KIn12Au7 (GGA-PBE).

Calculated values
Final energy in eV/atom: -3.01
DFT formation energy in eV/atom: -0.16

Cell and atoms, written as CIF:
```
data_KIn12Au7
_cell_length_a 14.2891
_cell_length_b 14.2891
_cell_length_c 8.2433
_cell_angle_alpha 90.00
_cell_angle_beta 90.00
_cell_angle_gamma 120.00
_symmetry_space_group_name_H-M 'R -3 m'
_symmetry_Int_Tables_number 166
_symmetry_space_group_name_Hall '-R 3 2"'
loop_
_atom_site_label
_atom_site_fract_x
_atom_site_fract_y
_atom_site_fract_z
K1 0.0000 0.0000 0.0000
In1 0.0000 0.2547 0.0000
In2 0.1083 0.2167 0.3624
Au1 0.0000 0.0000 0.5000
Au2 0.1045 0.5523 0.3862
```